Record 1
Compound: ZrTa2Tl
Source: Alexandria via LeMat-Bulk
Functional: GGA-PBE
Structure: relaxed

As for the volume: 20.1 Å³ per atom. As for the distance to the lowest polymorph of the same formula: 109 meV/atom. The formation energy comes out at 0.21 eV per atom.

It has space group Pmmm (No. 47), with a = 3.7844 Å, b = 4.5226 Å, c = 4.7050 Å, α = 90.00°, β = 90.00° and γ = 90.00°. The distinct sites, in fractional coordinates, are Zr at (0.0000, 0.0000, 0.0000), Ta at (0.0000, 0.5000, 0.5000), Ta at (0.5000, 0.0000, 0.5000) and Tl at (0.5000, 0.5000, 0.0000).



Record 2
Compound: ZrTa4Tl
Source: Alexandria via LeMat-Bulk
Functional: GGA-PBE
Structure: relaxed

As for the volume: 20.5 Å³ per atom. The formation energy comes out at 0.29 eV per atom.

It has space group F-43m (No. 216), with a = 7.8966 Å, b = 7.8966 Å, c = 7.8966 Å, α = 90.00°, β = 90.00° and γ = 90.00°. The distinct sites, in fractional coordinates, are Zr at (0.0000, 0.0000, 0.0000), Ta at (0.1271, 0.1271, 0.6271) and Tl at (0.2500, 0.2500, 0.2500).



Record 3
Compound: ZrTaTl2
Source: Alexandria via LeMat-Bulk
Functional: GGA-PBE
Structure: relaxed

As for the volume: 23.4 Å³ per atom. As for the distance to the lowest polymorph of the same formula: 0 meV/atom. The formation energy comes out at 0.28 eV per atom.

It has space group Cmm2 (No. 35), with a = 3.7093 Å, b = 5.1733 Å, c = 9.7414 Å, α = 90.00°, β = 90.00° and γ = 90.00°. The distinct sites, in fractional coordinates, are Zr at (0.0000, 0.0000, 0.0000), Ta at (0.0000, 0.5000, 0.7797), Tl at (0.0000, 0.0000, 0.5355) and Tl at (0.0000, 0.5000, 0.2623).



Record 4
Compound: ZrTa2Tl
Source: Alexandria via LeMat-Bulk
Functional: GGA-PBE
Structure: relaxed

As for the volume: 20.8 Å³ per atom. As for the distance to the lowest polymorph of the same formula: 78 meV/atom. The formation energy comes out at 0.18 eV per atom.

It has space group Cmm2 (No. 35), with a = 3.5315 Å, b = 4.9005 Å, c = 9.5951 Å, α = 90.00°, β = 90.00° and γ = 90.00°. The distinct sites, in fractional coordinates, are Zr at (0.0000, 0.0000, 0.0000), Ta at (0.0000, 0.0000, 0.4697), Ta at (0.0000, 0.5000, 0.2447) and Tl at (0.0000, 0.5000, 0.7278).



Record 5
Compound: ZrTaTl2
Source: Alexandria via LeMat-Bulk
Functional: GGA-PBE
Structure: relaxed

As for the volume: 24.3 Å³ per atom. As for the distance to the lowest polymorph of the same formula: 46 meV/atom. The formation energy comes out at 0.33 eV per atom.

It has space group R3m (No. 160, hexagonal axes), with a = 3.2640 Å, b = 3.2640 Å, c = 31.6372 Å, α = 90.00°, β = 90.00° and γ = 120.00°. The distinct sites, in fractional coordinates, are Zr at (0.0000, 0.0000, 0.0000), Ta at (0.0000, 0.0000, 0.7367), Tl at (0.0000, 0.0000, 0.2475) and Tl at (0.0000, 0.0000, 0.4851).



Record 6
Compound: ZrTa2Tl
Source: Alexandria via LeMat-Bulk
Functional: GGA-PBE
Structure: relaxed

As for the volume: 20.5 Å³ per atom. As for the distance to the lowest polymorph of the same formula: 205 meV/atom. The formation energy comes out at 0.31 eV per atom.

It has space group Cm (No. 8), with a = 9.9755 Å, b = 3.0552 Å, c = 5.4458 Å, α = 90.00°, β = 98.00° and γ = 90.00°. The distinct sites, in fractional coordinates, are Zr at (0.0000, 0.0000, 0.0000), Ta at (0.0073, 0.5000, 0.4883), Ta at (0.2608, 0.5000, 0.2660) and Tl at (0.2505, 0.0000, 0.7547).



Record 7
Compound: ZrTaTl2
Source: Alexandria via LeMat-Bulk
Functional: GGA-PBE
Structure: relaxed

As for the volume: 21.5 Å³ per atom. As for the distance to the lowest polymorph of the same formula: 20 meV/atom. The formation energy comes out at 0.30 eV per atom.

It has space group Pmmm (No. 47), with a = 3.0804 Å, b = 4.4990 Å, c = 6.2086 Å, α = 90.00°, β = 90.00° and γ = 90.00°. The distinct sites, in fractional coordinates, are Zr at (0.0000, 0.0000, 0.0000), Ta at (0.0000, 0.0000, 0.5000) and Tl at (0.5000, 0.5000, 0.2560).



Record 8
Compound: ZrTaTl4
Source: Alexandria via LeMat-Bulk
Functional: GGA-PBE
Structure: relaxed

As for the volume: 24.5 Å³ per atom. The formation energy comes out at 0.82 eV per atom.

It has space group F-43m (No. 216), with a = 8.3761 Å, b = 8.3761 Å, c = 8.3761 Å, α = 90.00°, β = 90.00° and γ = 90.00°. The distinct sites, in fractional coordinates, are Zr at (0.0000, 0.0000, 0.0000), Ta at (0.2500, 0.2500, 0.7500) and Tl at (0.1248, 0.1248, 0.3752).